# 1
Entry from Alexandria via LeMat-Bulk: an optimized crystal structure of Zn2IrPt (PBEsol).

abc: 3.021 3.021 5.977
angles: 90.00 90.00 90.00
Element x y z (fractional)
Zn (0.000, 0.000, 0.244)
Zn (0.000, 0.000, 0.756)
Ir (0.500, 0.500, 0.000)
Pt (0.500, 0.500, 0.500)

Summary:
**DOS(E_F)**: 1.42 states/eV/cell
**DFT formation energy**: -7.90 kcal/mol of atoms

***

# 2
Entry from Alexandria via LeMat-Bulk: an optimized crystal structure of ZnIr4Pt (PBEsol).

abc: 5.096 5.096 5.096
angles: 60.00 60.00 60.00
Element x y z (fractional)
Zn (0.000, 0.000, 0.000)
Ir (0.125, 0.625, 0.625)
Ir (0.625, 0.125, 0.625)
Ir (0.625, 0.625, 0.125)
Ir (0.625, 0.625, 0.625)
Pt (0.250, 0.250, 0.250)

Summary:
**DOS(E_F)**: 10.30 states/eV/cell
**DFT formation energy**: 13.45 kcal/mol of atoms

***

# 3
Entry from Alexandria via LeMat-Bulk: an optimized crystal structure of Zn2IrPt (PBEsol).

abc: 9.693 2.783 4.524
angles: 90.00 114.10 90.00
Element x y z (fractional)
Zn (0.000, 0.000, 0.000)
Zn (0.237, 0.000, 0.574)
Zn (0.500, 0.500, 0.000)
Zn (0.737, 0.500, 0.574)
Ir (0.492, 0.000, 0.503)
Ir (0.992, 0.500, 0.503)
Pt (0.249, 0.500, 0.078)
Pt (0.749, 0.000, 0.078)

Summary:
**DOS(E_F)**: 4.98 states/eV/cell
**DFT formation energy**: -6.43 kcal/mol of atoms

***

- Which of these has the lowest DOS(E_F)?
  number 1

***

- The lowest DOS(E_F) belongs to which entry?
  number 1